1.
Computed, not measured: a geometry-optimized Ce5GaRu structure at the PBE-GGA level of DFT.

Cell and atoms, written as extended XYZ:
```
14
Lattice="6.3686 -2.9079 0.0000 6.3686 2.9079 0.0000 -4.4498 0.0000 9.5680" Properties=species:S:1:pos:R:3 pbc="T T T"
Ce 3.0312 2.8766 7.1760
Ce 2.4185 0.1729 1.1562
Ce 0.1936 -0.1729 5.9402
Ce 0.5443 0.0449 8.9194
Ce 2.7692 -0.0449 4.1354
Ce 5.5181 0.0449 5.4327
Ce 7.7430 -0.0449 0.6486
Ce 8.0937 0.1729 3.6278
Ce 5.8689 -0.1729 8.4119
Ce 5.2561 -2.8766 2.3920
Ga 5.2561 0.0314 2.3920
Ga 3.0312 -0.0314 7.1760
Ru 0.0000 0.0000 0.0000
Ru -2.2249 0.0000 4.7840
```

Energy = -6.093 eV/atom
ΔH_f (0 K) = -0.097 eV/atom

=====

2.
Computed, not measured: a geometry-optimized Ce3GaRu3 structure at the PBE-GGA level of DFT.

Cell and atoms, written as extended XYZ:
```
14
Lattice="4.2282 2.4412 5.0333 -4.2282 2.4412 5.0333 0.0000 -4.8823 5.0333" Properties=species:S:1:pos:R:3 pbc="T T T"
Ce -2.8621 0.5197 6.6380
Ce -1.8811 -2.2188 8.4619
Ce 0.9809 -2.7385 6.6380
Ce -0.9809 2.7385 8.4619
Ce 1.8811 2.2188 6.6380
Ce 2.8621 -0.5197 8.4619
Ga 0.0000 0.0000 4.9116
Ga 0.0000 0.0000 10.1883
Ru -1.7003 -2.1483 6.0651
Ru -2.7106 0.3983 9.0348
Ru -1.0103 2.5466 6.0651
Ru 1.0103 -2.5466 9.0348
Ru 2.7106 -0.3984 6.0651
Ru 1.7003 2.1483 9.0348
```

Energy = -7.266 eV/atom
ΔH_f (0 K) = -0.315 eV/atom

=====

3.
Computed, not measured: a geometry-optimized Ce3GaRu3 structure at the PBE-GGA level of DFT.

Cell and atoms, written as extended XYZ:
```
14
Lattice="2.2040 -4.7247 0.0000 2.2040 4.7247 0.0000 0.0000 0.0000 13.9969" Properties=species:S:1:pos:R:3 pbc="T T T"
Ce 2.2040 4.6383 10.4977
Ce 2.2040 1.8471 8.4642
Ce 2.2040 1.8471 12.5312
Ce 2.2040 -1.8471 1.4657
Ce 2.2040 -1.8471 5.5328
Ce 2.2040 -4.6383 3.4992
Ga 0.0000 0.0000 0.0000
Ga 0.0000 0.0000 6.9985
Ru 2.2040 2.4887 3.4992
Ru 2.2040 0.6766 1.2682
Ru 2.2040 0.6766 5.7303
Ru 2.2040 -0.6766 8.2666
Ru 2.2040 -0.6766 12.7287
Ru 2.2040 -2.4887 10.4977
```

Energy = -7.419 eV/atom
ΔH_f (0 K) = -0.469 eV/atom

=====

4.
Computed, not measured: a geometry-optimized Ce2Ga2Ru3 structure at the PBE-GGA level of DFT.

Cell and atoms, written as extended XYZ:
```
14
Lattice="-4.0000 4.0000 4.0000 4.0000 -4.0000 4.0000 4.0000 4.0000 -4.0000" Properties=species:S:1:pos:R:3 pbc="T T T"
Ce 5.4740 -1.4740 1.4740
Ce 1.4740 5.4740 -1.4740
Ce 2.5260 2.5260 2.5260
Ce -1.4740 1.4740 5.4740
Ga 3.7188 0.2812 -0.2812
Ga 0.2812 0.2812 0.2812
Ga 0.2812 -0.2812 3.7188
Ga -0.2812 3.7188 0.2812
Ru 6.0000 1.6578 0.0000
Ru 2.3422 0.0000 2.0000
Ru 2.0000 2.3422 0.0000
Ru 0.0000 2.0000 2.3422
Ru 1.6578 0.0000 6.0000
Ru 0.0000 6.0000 1.6578
```

Energy = -6.828 eV/atom
ΔH_f (0 K) = -0.293 eV/atom

=====

5.
Computed, not measured: a geometry-optimized Ce6GaRu2 structure at the PBE-GGA level of DFT.

Cell and atoms, written as extended XYZ:
```
18
Lattice="7.8509 -4.6545 0.0000 7.8509 4.6545 0.0000 -1.8423 0.0000 5.9703" Properties=species:S:1:pos:R:3 pbc="T T T"
Ce 5.1452 3.8251 4.8426
Ce 4.1906 2.5932 1.6179
Ce 7.7931 3.8251 4.1128
Ce 5.5510 0.3363 3.3328
Ce 10.5899 2.5932 1.3672
Ce 6.4721 -0.3363 0.3476
Ce 7.3873 0.3363 5.6227
Ce 3.2695 -2.5932 4.6031
Ce 8.3084 -0.3363 2.6375
Ce 6.0663 -3.8251 1.8575
Ce 9.6688 -2.5932 4.3523
Ce 8.7142 -3.8251 1.1277
Ga 7.3903 2.3868 1.4926
Ga 6.4691 -2.3868 4.4777
Ru 3.7416 0.0323 0.5412
Ru 2.8204 -0.0323 3.5263
Ru 11.0390 0.0323 2.4440
Ru 10.1178 -0.0323 5.4291
```

Energy = -6.581 eV/atom
ΔH_f (0 K) = -0.227 eV/atom

=====

6.
Computed, not measured: a geometry-optimized Ce8Ga3Ru2 structure at the PBE-GGA level of DFT.

Cell and atoms, written as extended XYZ:
```
13
Lattice="3.1961 1.8453 9.6153 -3.1961 1.8453 9.6153 0.0000 -3.6906 9.6153" Properties=species:S:1:pos:R:3 pbc="T T T"
Ce 0.0000 0.0000 5.7645
Ce 0.0000 -1.6143 11.3018
Ce -1.3980 0.8072 11.3018
Ce -1.3980 -0.8072 17.5441
Ce 1.3980 0.8071 11.3018
Ce 1.3980 -0.8071 17.5441
Ce 0.0000 1.6143 17.5441
Ce 0.0000 0.0000 23.0814
Ga 0.0000 0.0000 8.6856
Ga 0.0000 0.0000 14.4229
Ga 0.0000 0.0000 20.1603
Ru 0.0000 0.0000 3.3890
Ru 0.0000 0.0000 25.4568
```

Energy = -5.904 eV/atom
ΔH_f (0 K) = -0.127 eV/atom